## RbMgBiI6 (GGA-PBE)

Data for an optimized crystal structure of RbMgBiI6.

Lattice parameters (Å, degrees): 7.8457 7.8457 8.1941 90.00 90.00 59.99
Element x y z (fractional)
Mg 0.6666 0.6667 0.5000
I 0.9847 0.6355 0.7136
I 0.9848 0.3797 0.2864
I 0.6354 0.3798 0.7136
Rb 0.0000 0.0000 0.0000
I 0.3796 0.9848 0.7136
Bi 0.3333 0.3334 0.5000
I 0.6355 0.9847 0.2864
I 0.3797 0.6355 0.2864

The value obtained for the uncorrected formation energy is -0.88 eV/atom. The theoretical density comes out at 4.11 g/cm³.